First-principles (GGA-PBE) data for a relaxed NbCuHg crystal, as listed in OQMD.

## Properties
Space-group type: F-43m (216)
Excess energy over the best structure of this formula in the dataset in meV/atom: 0.0
Theoretical density in g/cm³: 10.7
Energy of formation in eV/atom: 0.42
Volume in A^3/atom: 18.42

Cell: 4.275 4.275 4.275 Å, 60.00 60.00 60.00°
Fractional coordinates of all 3 atoms:
Cu 0.000 0.000 0.000
Hg 0.250 0.250 0.250
Nb 0.750 0.750 0.750



First-principles (GGA-PBE) data for a relaxed SmTc4Ge2 crystal, as listed in OQMD.

## Properties
Calculated total energy in eV per cell: -58.21
Space-group type: Cmmm (65)
Theoretical density in g/cm³: 9.3
Volume in A^3/atom: 17.62

Cell: 7.477 7.477 4.131 Å, 90.00 90.00 147.72°
Fractional coordinates of all 7 atoms:
Ge 0.588 0.412 0.500
Ge 0.412 0.588 0.500
Sm 0.000 0.000 0.000
Tc 0.699 0.301 0.000
Tc 0.301 0.699 0.000
Tc 0.805 0.195 0.500
Tc 0.195 0.805 0.500



First-principles (GGA-PBE) data for a relaxed Gd2HoAl3CuGe2 crystal, as listed in OQMD.

## Properties
Calculated total energy in eV per cell: -44.04
Space-group type: Amm2 (38)
Theoretical density in g/cm³: 7.1
Volume in A^3/atom: 19.95

Cell: 4.200 7.023 7.023 Å, 119.93 90.00 90.00°
Fractional coordinates of all 9 atoms:
Al 0.500 0.232 0.001
Al 0.500 0.001 0.232
Al 0.500 0.768 0.768
Cu 0.000 0.003 0.003
Gd 0.000 0.999 0.597
Gd 0.000 0.597 0.999
Ge 0.500 0.664 0.334
Ge 0.500 0.334 0.664
Ho 0.000 0.402 0.402



First-principles (GGA-PBE) data for a relaxed Ge2PdS3 crystal, as listed in OQMD.

## Properties
Calculated total energy in eV per cell: -27.04
Space-group type: Immm (71)
Theoretical density in g/cm³: 5.1
Volume in A^3/atom: 18.93

Cell: 7.684 7.684 7.684 Å, 153.47 145.82 43.79°
Fractional coordinates of all 6 atoms:
Ge 0.350 0.350 0.000
Ge 0.650 0.650 0.000
Pd 0.000 0.000 0.000
S 0.167 0.167 0.000
S 0.833 0.833 0.000
S 0.500 0.000 0.500



First-principles (GGA-PBE) data for a relaxed Lu3In3IrPd crystal, as listed in OQMD.

## Properties
Calculated total energy in eV per cell: -41.54
Space-group type: P-6 (174)
Theoretical density in g/cm³: 10.8
Volume in A^3/atom: 22.39

Cell: 7.627 7.627 3.556 Å, 90.00 90.00 120.00°
Fractional coordinates of all 8 atoms:
In 0.331 0.432 0.000
In 0.100 0.669 0.000
In 0.568 0.900 0.000
Ir 0.667 0.333 0.000
Lu 0.345 0.093 0.500
Lu 0.907 0.252 0.500
Lu 0.748 0.655 0.500
Pd 0.000 0.000 0.000



First-principles (GGA-PBE) data for a relaxed Y6Te2Pd crystal, as listed in OQMD.

## Properties
Calculated total energy in eV per cell: -230.72
Space-group type: Pnma (62)
Theoretical density in g/cm³: 5.8
Volume in A^3/atom: 28.30

Cell: 21.911 4.030 11.538 Å, 90.00 90.00 90.00°
Fractional coordinates of all 36 atoms:
Pd 0.926 0.250 0.147
Pd 0.426 0.250 0.353
Pd 0.574 0.750 0.647
Pd 0.074 0.750 0.853
Te 0.261 0.750 0.031
Te 0.126 0.250 0.222
Te 0.626 0.250 0.278
Te 0.761 0.750 0.469
Te 0.239 0.250 0.531
Te 0.374 0.750 0.722
Te 0.874 0.750 0.778
Te 0.739 0.250 0.969
Y 0.846 0.750 0.041
Y 0.646 0.750 0.076
Y 0.512 0.250 0.115
Y 0.025 0.750 0.120
Y 0.391 0.750 0.175
Y 0.266 0.250 0.247
Y 0.766 0.250 0.253
Y 0.891 0.750 0.325
Y 0.525 0.750 0.380
Y 0.012 0.250 0.385
Y 0.146 0.750 0.424
Y 0.346 0.750 0.459
Y 0.654 0.250 0.541
Y 0.854 0.250 0.576
Y 0.988 0.750 0.615
Y 0.475 0.250 0.620
Y 0.109 0.250 0.675
Y 0.234 0.750 0.747
Y 0.734 0.750 0.753
Y 0.609 0.250 0.825
Y 0.975 0.250 0.880
Y 0.488 0.750 0.885
Y 0.354 0.250 0.924
Y 0.154 0.250 0.959



First-principles (GGA-PBE) data for a relaxed Ho3Hf3CoTe2 crystal, as listed in OQMD.

## Properties
Space-group type: P-62m (189)
Excess energy over the best structure of this formula in the dataset in meV/atom: 0.0
Theoretical density in g/cm³: 10.7
Volume in A^3/atom: 23.26

Cell: 7.986 7.986 3.791 Å, 90.00 90.00 120.00°
Fractional coordinates of all 9 atoms:
Co 0.000 0.000 0.000
Hf 0.775 0.000 0.500
Hf 0.225 0.225 0.500
Hf 0.000 0.775 0.500
Ho 0.397 0.000 0.000
Ho 0.000 0.397 0.000
Ho 0.603 0.603 0.000
Te 0.667 0.333 0.500
Te 0.333 0.667 0.500



First-principles (GGA-PBE) data for a relaxed SrTmU crystal, as listed in OQMD.

## Properties
Space-group type: F-43m (216)
Excess energy over the best structure of this formula in the dataset in meV/atom: 0.0
Theoretical density in g/cm³: 6.7
Volume in A^3/atom: 41.02

Cell: 5.583 5.583 5.583 Å, 60.00 60.00 60.00°
Fractional coordinates of all 3 atoms:
Sr 0.250 0.250 0.250
Tm 0.000 0.000 0.000
U 0.750 0.750 0.750